HfNbPd6: relaxed, PBE.

Properties
* ΔH_f (0 K): -0.480 eV/atom
* V: 16.3 A^3/atom
* SG: Amm2, No. 38
* calculated total energy: -6.88 eV per atom

Cell lengths 4.0050, 5.7129, 5.7129 Å; angles 88.42, 90.00, 90.00 degrees
Last column: nearest neighbours and their distance in Å.
Sites, in units of the cell vectors:
Hf  0.0000  0.0000  0.0000  10 Pd 2.71-2.92
Nb  0.5000  0.3147  0.3147  10 Pd 2.66-2.96
Pd  0.0000  0.0441  0.5075  2 Nb 2.74, 8 Pd 2.77-2.94, 2 Hf 2.82-2.92
Pd  0.0000  0.5075  0.0441  2 Nb 2.74, 8 Pd 2.77-2.94, 2 Hf 2.82-2.92
Pd  0.0000  0.5286  0.5286  2 Nb 2.66, 10 Pd 2.77-2.94
Pd  0.5000  0.2698  0.7990  2 Hf 2.76, 2 Nb 2.77-2.96, 8 Pd 2.81-2.93
Pd  0.5000  0.7770  0.7770  2 Hf 2.71, 10 Pd 2.82-2.93
Pd  0.5000  0.7990  0.2698  2 Hf 2.76, 2 Nb 2.77-2.96, 8 Pd 2.81-2.93